[1]
Tb2Y | PBE-GGA | optimized geometry

Unit cell a=10.895 b=6.290 c=5.686 alpha=90.00 beta=90.00 gamma=90.00
Positions (direct):
Tb 0.168 0.166 0.250
Tb 0.168 0.834 0.750
Tb 0.332 0.334 0.750
Tb 0.332 0.666 0.250
Tb 0.668 0.334 0.750
Tb 0.668 0.666 0.250
Tb 0.832 0.166 0.250
Tb 0.832 0.834 0.750
Y 0.000 0.331 0.750
Y 0.000 0.669 0.250
Y 0.500 0.169 0.250
Y 0.500 0.831 0.750

Properties
Formation energy = 0.010 eV/atom
Polymorph energy (0 for the lowest one) = 0.00 eV per formula unit

---

[2]
CsCdCu2I6 | PBE-GGA | optimized geometry

Unit cell a=11.093 b=11.093 c=8.274 alpha=102.58 beta=102.58 gamma=96.26
Positions (direct):
Cs 0.114 0.886 0.750
Cs 0.886 0.114 0.250
Cd 0.227 0.773 0.250
Cd 0.773 0.227 0.750
Cu 0.252 0.374 0.826
Cu 0.374 0.252 0.326
Cu 0.626 0.748 0.674
Cu 0.748 0.626 0.174
I 0.036 0.220 0.728
I 0.195 0.605 0.936
I 0.220 0.036 0.228
I 0.301 0.407 0.545
I 0.395 0.805 0.564
I 0.407 0.301 0.045
I 0.593 0.699 0.955
I 0.605 0.195 0.436
I 0.699 0.593 0.455
I 0.780 0.964 0.772
I 0.805 0.395 0.064
I 0.964 0.780 0.272

Properties
Formation energy (no corrections) = -497 meV/atom

---

[3]
K2CaUS4 | PBE-GGA | optimized geometry

Unit cell a=7.110 b=4.120 c=7.698 alpha=90.00 beta=107.74 gamma=90.00
Positions (direct):
K 0.000 0.000 0.000
K 0.500 0.500 0.000
Ca 0.000 0.500 0.500
U 0.500 0.000 0.500
S 0.251 0.000 0.701
S 0.279 0.500 0.299
S 0.721 0.500 0.701
S 0.749 0.000 0.299

Properties
Formation energy (no corrections) = -1597 meV/atom

---

[4]
Sc2TiSi | PBE-GGA | optimized geometry

Unit cell a=3.122 b=3.122 c=28.757 alpha=90.00 beta=90.00 gamma=120.00
Positions (direct):
Sc 0.000 0.000 0.095
Sc 0.000 0.000 0.905
Sc 0.333 0.667 0.572
Sc 0.333 0.667 0.761
Sc 0.667 0.333 0.239
Sc 0.667 0.333 0.428
Ti 0.000 0.000 0.000
Ti 0.333 0.667 0.667
Ti 0.667 0.333 0.333
Si 0.000 0.000 0.500
Si 0.333 0.667 0.167
Si 0.667 0.333 0.833

Properties
Formation energy (no corrections) = 114 meV/atom

---

[5]
KRe3As | PBE-GGA | optimized geometry

Unit cell a=4.587 b=4.587 c=4.587 alpha=90.00 beta=90.00 gamma=90.00
Positions (direct):
K 0.000 0.000 0.000
Re 0.000 0.000 0.500
Re 0.000 0.500 0.000
Re 0.500 0.000 0.000
As 0.500 0.500 0.500

Properties
Formation energy = 3.934 eV/atom
Polymorph energy (0 for the lowest one) = 10.11 eV per formula unit

---

[6]
SrMg2Si | PBE-GGA | optimized geometry

Unit cell a=3.398 b=3.961 c=7.510 alpha=90.00 beta=90.00 gamma=90.00
Positions (direct):
Sr 0.000 0.000 0.000
Mg 0.000 0.000 0.561
Mg 0.500 0.500 0.337
Si 0.500 0.500 0.721

Properties
Formation energy (no corrections) = -55 meV/atom

---

Final energy for the records above, in order: -5.23, -2.42, -5.60, -6.38, -4.68, -2.63 eV/atom